First-principles (SCAN) data for a crystal of GaB2Pb relaxed with PBEsol, as listed in the Alexandria database.

Unit cell a=4.502 b=4.502 c=12.689 alpha=90.00 beta=90.00 gamma=90.00
Space group I-42d (No. 122)
Symmetry-distinct sites (fractional):
Ga1 0.000 0.000 0.000 (multiplicity 4)
B1 0.164 0.250 0.125 (multiplicity 8)
Pb1 0.000 0.000 0.500 (multiplicity 4)

Properties
Total DFT energy (no corrections) ... -25.78 eV per atom
D(E_F) ... 0.92 states/eV/f.u.
M_tot ... 0.0 μB per formula unit
E_form ... 93.7 kJ per mole of atoms